VASP calculation (PBE-GGA) on a relaxed structure of BaLa2Mo.

Values from the calculation:
Density ... 5.83 g cm⁻³
Formation enthalpy at 0 K ... 192 kJ/mol of formula units
Total DFT energy (no corrections) ... -5.15 eV/atom

Geometry as CIF:
```
data_BaLa2Mo
_chemical_formula_sum 'Ba2 La4 Mo2'
_symmetry_space_group_name_H-M 'I m m 2'
_symmetry_Int_Tables_number 44
_symmetry_space_group_name_Hall 'I 2 -2'
_cell_length_a 3.614
_cell_length_b 4.992
_cell_length_c 16.138
_cell_angle_alpha 90.00
_cell_angle_beta 90.00
_cell_angle_gamma 90.00
loop_
_atom_site_label
_atom_site_fract_x
_atom_site_fract_y
_atom_site_fract_z
Ba1 0.000 0.000 0.000
La1 0.000 0.000 0.675
La2 0.000 0.500 0.825
Mo1 0.000 0.500 0.306
```